[1]
InNiAu after structural relaxation, computed with PBEsol.

a b c (Å): 3.2411 3.2411 8.9936
angles (deg): 90.00 90.00 90.00
Closest atoms and distances in Å follow each position.
Space group I4mm (No. 107)
One atom of each set of equivalent atoms:
1 In 0.0000 0.0000 0.0000 x2  4 Ni 2.66, 5 Au 2.82-2.84
2 Ni 0.0000 0.0000 0.6510 x2  4 In 2.66, 4 Au 2.72
3 Au 0.0000 0.0000 0.3136 x2  5 Ni 2.72-3.03, 5 In 2.82-2.84

Properties
Energy of formation from the pure elements: -20.3 kJ/mol of formula units
Raw total energy: -26.55 eV per cell



[2]
CaMgRu after structural relaxation, computed with PBEsol.

a b c (Å): 4.7279 4.7279 2.9948
angles (deg): 90.00 90.00 120.00
Closest atoms and distances in Å follow each position.
Space group P3m1 (No. 156)
One atom of each set of equivalent atoms:
1 Ca 0.0000 0.0000 0.0000 x1  3 Ru 2.92, 2 Ca 2.99, 6 Mg 3.01-3.23
2 Mg 0.6667 0.3333 0.4252 x1  3 Ru 2.81, 2 Mg 2.99, 3 Ca 3.01
3 Ru 0.3333 0.6667 0.6532 x1  3 Mg 2.81, 3 Ca 2.92, 2 Ru 2.99

Properties
Energy of formation from the pure elements: 94.7 kJ/mol of formula units
Raw total energy: -13.04 eV per cell